(1)
Computed, not measured: crystalline AcPm2H at its relaxed geometry at the PBE level of DFT.

Unit cell a=3.5060 b=3.5060 c=8.9960 alpha=90.00 beta=90.00 gamma=90.00
Space group P4/mmm (No. 123)
Unique sites:
Ac: 0.0000 0.0000 0.0000 [1 per cell]
Pm: 0.5000 0.5000 0.3202 [2 per cell]
H: 0.0000 0.0000 0.5000 [1 per cell]

Computed properties:
As for the total magnetization: 0.00 μB/cell. The calculation puts the energy above the most stable polymorph in this dataset at 0.324 eV per atom.

---

(2)
Computed, not measured: crystalline Ac2PmH at its relaxed geometry at the PBE level of DFT.

Unit cell a=3.7110 b=3.7110 c=9.1633 alpha=90.00 beta=90.00 gamma=90.00
Space group P4/mmm (No. 123)
Unique sites:
Ac: 0.0000 0.0000 0.1963 [2 per cell]
Pm: 0.5000 0.5000 0.5000 [1 per cell]
H: 0.5000 0.5000 0.0000 [1 per cell]

Computed properties:
As for the total magnetization: 0.00 μB/cell. The calculation puts the energy above the most stable polymorph in this dataset at 0.056 eV per atom.